LaCo2BiF | the Alexandria database | GGA+U | relaxed; volume = 106.0 Å³/cell; raw total energy = -23.6 eV for the cell shown; space group = P4/mmm, No. 123
1.0
4.7331 0.0000 0.0000
0.0000 4.7331 0.0000
0.0000 0.0000 4.7318
La Co Bi F
1 2 1 1
Direct
0.0000 0.0000 0.0000
0.0000 0.5000 0.5000
0.5000 0.0000 0.5000
0.5000 0.5000 0.0000
0.0000 0.0000 0.5000